Here is a relaxed MgCoOs2 crystal from the Alexandria database. Energies are from PBE.

```
data_MgCoOs2
_cell_length_a 2.755
_cell_length_b 3.772
_cell_length_c 5.485
_cell_angle_alpha 90.00
_cell_angle_beta 90.00
_cell_angle_gamma 90.00
_symmetry_space_group_name_H-M 'P m m 2'
_symmetry_Int_Tables_number 25
loop_
_symmetry_equiv_pos_as_xyz
'x,y,z'
'-x,-y,z'
'-x,y,z'
'x,-y,z'
loop_
_atom_site_label
_atom_site_type_symbol
_atom_site_fract_x
_atom_site_fract_y
_atom_site_fract_z
_atom_site_occupancy
Mg1 Mg 0.000 0.000 0.000 1
Co1 Co 0.500 0.500 0.763 1
Os1 Os 0.000 0.000 0.507 1
Os2 Os 0.500 0.500 0.295 1
```

Output
As for the uncorrected energy: -7.564 eV per atom. Its spin magnetization is 1.3 μB/f.u. The formation energy comes out at 0.2260 eV/atom. The density of states at the Fermi level comes out at 0.990 states/eV/atom.